Entry 1:
Here is an optimized crystal structure of LiV4O8 from the Alexandria database. Energies are from PBE+U.

Results
crystal system	orthorhombic
V	11.94	A^3/atom
VASP energy	-7.47	eV/atom
E above lowest polymorph	15	meV per atom

extended XYZ file:
```
13
Lattice="6.326 0.000 0.000 0.000 2.856 4.296 0.000 -2.856 4.296" Properties=species:S:1:pos:R:3 pbc="T T T"
Li 0.000 0.000 0.000
V 0.000 0.000 2.738
V 1.624 0.000 5.779
V 3.163 0.000 0.218
V 4.702 0.000 5.779
O 0.000 -1.424 5.915
O 0.000 1.424 5.915
O 1.347 0.000 3.760
O 1.736 0.000 7.724
O 3.163 -1.340 5.557
O 3.163 1.340 5.557
O 4.590 0.000 7.724
O 4.979 0.000 3.760
```

***

Entry 2:
Here is an optimized crystal structure of LiV3O6 from the Alexandria database. Energies are from PBE+U.

Results
crystal system	triclinic
V	14.85	A^3/atom
VASP energy	-7.17	eV/atom
E above lowest polymorph	277	meV per atom

extended XYZ file:
```
10
Lattice="5.242 0.000 0.000 -1.762 5.041 0.000 -0.022 -0.014 5.621" Properties=species:S:1:pos:R:3 pbc="T T T"
Li 0.000 0.000 0.000
V 1.156 0.253 2.811
V 2.245 4.836 2.808
V 4.296 2.543 2.812
O -0.161 1.182 1.632
O -0.162 1.176 3.990
O 0.620 3.793 2.816
O 2.647 1.313 2.807
O 3.569 3.837 4.011
O 3.579 3.845 1.610
```

***

Entry 3:
Here is an optimized crystal structure of LiV18O44 from the Alexandria database. Energies are from PBE+U.

Results
crystal system	monoclinic
V	12.81	A^3/atom
VASP energy	-7.43	eV/atom

extended XYZ file:
```
63
Lattice="10.327 0.000 0.000 0.000 3.673 0.000 -4.543 0.000 21.268" Properties=species:S:1:pos:R:3 pbc="T T T"
Li 0.000 0.000 0.000
V -3.536 0.000 17.910
V -1.583 0.000 8.869
V -1.411 0.000 15.576
V 1.298 0.000 3.545
V -0.343 0.000 12.118
V 3.400 0.000 1.028
V 1.829 0.000 9.619
V -0.060 0.000 18.810
V 1.092 1.837 16.238
V 4.757 0.000 4.119
V 5.882 1.837 1.527
V 4.054 1.837 10.724
V 2.436 1.837 19.308
V 6.224 1.837 8.245
V 4.557 1.837 16.813
V 7.249 1.837 4.776
V 9.368 1.837 2.442
V 7.475 1.837 11.466
O 9.716 0.000 2.853
O -3.032 0.000 15.455
O -3.698 0.000 19.526
O -0.962 0.000 7.397
O 0.951 1.837 3.120
O -0.859 1.837 11.861
O 1.739 0.000 0.967
O -1.739 0.000 17.682
O -0.022 0.000 9.950
O -0.854 0.000 13.847
O 1.276 0.000 5.136
O -0.903 1.837 15.814
O 1.891 0.000 8.029
O -0.717 0.000 20.391
O 3.123 0.000 3.142
O 1.277 0.000 12.184
O 3.907 1.837 1.110
O 0.666 0.000 16.581
O 2.146 1.837 10.088
O 0.404 1.837 18.446
O 1.675 1.837 14.747
O 4.184 0.000 5.613
O 5.409 0.000 1.886
O 3.741 0.000 10.256
O 5.186 1.837 3.772
O 1.918 0.000 19.236
O 4.606 1.837 8.153
O 2.719 1.837 17.223
O 1.995 1.837 21.224
O 4.001 1.837 12.313
O 6.747 0.000 4.509
O 4.568 1.837 15.221
O 5.908 1.837 10.379
O 7.581 1.837 2.611
O 6.750 1.837 6.493
O 4.075 1.837 19.406
O 6.742 0.000 8.469
O 4.880 0.000 17.251
O 6.847 1.837 12.935
O 9.599 1.837 0.805
O 8.882 1.837 4.826
O 6.456 1.837 17.454
O 8.309 1.837 9.182
O 7.902 0.000 11.152
```

***

Entry 4:
Here is an optimized crystal structure of Li2VO4 from the Alexandria database. Energies are from PBE+U.

Results
crystal system	triclinic
V	11.67	A^3/atom
VASP energy	-6.18	eV/atom
E above lowest polymorph	0	meV per atom

extended XYZ file:
```
28
Lattice="5.824 0.000 0.000 0.623 6.558 0.000 0.796 0.835 8.554" Properties=species:S:1:pos:R:3 pbc="T T T"
Li 0.678 1.245 0.298
Li 1.803 5.868 3.718
Li 2.195 2.345 3.461
Li 2.633 4.636 0.661
Li 4.610 2.758 7.893
Li 5.048 5.048 5.093
Li 5.440 1.526 4.836
Li 6.565 6.148 8.256
V 1.974 4.256 6.283
V 2.457 0.935 6.325
V 4.786 6.458 2.228
V 5.268 3.138 2.270
O 0.836 2.212 2.003
O 1.427 2.521 6.865
O 1.612 0.990 4.790
O 2.647 6.849 7.985
O 2.116 3.992 4.582
O 2.928 3.872 7.854
O 3.378 5.590 6.093
O 3.218 5.825 2.300
O 4.025 1.569 6.254
O 3.864 1.803 2.460
O 4.315 3.521 0.699
O 5.127 3.401 3.972
O 4.596 0.544 0.568
O 5.631 6.403 3.764
O 5.815 4.872 1.688
O 6.407 5.181 6.550
```

***

Entry 5:
Here is an optimized crystal structure of Li4V3O8 from the Alexandria database. Energies are from PBE+U.

Results
crystal system	monoclinic
V	10.17	A^3/atom
VASP energy	-6.70	eV/atom
E above lowest polymorph	14	meV per atom

extended XYZ file:
```
30
Lattice="6.147 0.000 0.000 0.000 5.851 0.000 -5.569 0.000 8.483" Properties=species:S:1:pos:R:3 pbc="T T T"
Li 0.000 1.416 0.000
Li -2.785 4.434 4.242
Li 1.820 1.433 1.221
Li -0.964 4.417 5.462
Li 3.649 1.421 2.421
Li 0.864 4.430 6.663
Li 2.144 1.426 5.451
Li 4.928 4.424 1.209
V 0.419 0.039 3.298
V -2.366 5.812 7.540
V -0.950 1.441 5.437
V 1.835 4.410 1.195
V -2.328 2.886 7.619
V 0.456 2.964 3.377
O -2.344 0.066 5.585
O 0.440 5.784 1.344
O -0.924 1.514 3.444
O -3.708 4.337 7.686
O -3.647 1.368 7.639
O -0.862 4.483 3.397
O -2.287 2.840 5.658
O 0.498 3.011 1.417
O -1.001 1.423 7.445
O 1.784 4.428 3.203
O 1.741 1.415 3.291
O 3.252 2.919 0.996
O 0.468 2.932 5.238
O -1.043 4.436 7.532
O 0.393 0.148 5.361
O 3.178 5.702 1.120
```

***

Entry 6:
Here is an optimized crystal structure of Li2V18O39 from the Alexandria database. Energies are from PBE+U.

Results
crystal system	monoclinic
V	11.94	A^3/atom
VASP energy	-7.55	eV/atom

extended XYZ file:
```
59
Lattice="11.105 -1.875 0.000 11.105 1.875 0.000 -4.468 0.000 16.921" Properties=species:S:1:pos:R:3 pbc="T T T"
Li 3.846 0.000 5.764
Li 13.897 0.000 11.157
V 0.701 0.000 1.663
V -1.694 0.000 13.944
V 0.167 0.000 11.074
V 4.161 0.000 0.365
V 1.562 0.000 14.354
V 4.143 0.000 9.348
V 5.081 0.000 12.905
V 7.518 0.000 8.014
V 9.204 0.000 5.240
V 8.539 0.000 11.681
V 10.225 0.000 8.907
V 12.661 0.000 4.015
V 13.600 0.000 7.573
V 16.181 0.000 2.567
V 13.582 0.000 16.556
V 17.576 0.000 5.847
V 19.437 0.000 2.976
V 17.042 0.000 15.258
O 0.000 0.000 0.000
O -3.253 0.000 14.552
O -1.988 0.000 11.870
O -0.668 0.000 9.221
O 1.463 0.000 3.638
O 2.563 0.000 0.901
O -0.632 0.000 15.350
O 0.403 0.000 13.022
O 1.817 0.000 10.704
O 3.109 0.000 7.627
O 5.127 0.000 2.124
O 1.876 0.000 16.367
O 3.065 0.000 13.602
O 4.361 0.000 11.287
O 5.743 0.000 8.841
O 6.992 0.000 6.021
O 8.304 0.000 3.466
O 5.760 0.000 14.772
O 6.894 0.000 12.114
O 8.428 0.000 9.669
O 9.315 0.000 7.252
O 10.848 0.000 4.807
O 11.983 0.000 2.149
O 9.439 0.000 13.455
O 10.751 0.000 10.899
O 12.000 0.000 8.080
O 13.382 0.000 5.634
O 14.678 0.000 3.319
O 15.867 0.000 0.554
O 12.616 0.000 14.797
O 14.634 0.000 9.294
O 15.926 0.000 6.217
O 17.340 0.000 3.899
O 18.375 0.000 1.571
O 15.180 0.000 16.020
O 16.280 0.000 13.283
O 18.411 0.000 7.700
O 19.731 0.000 5.051
O 20.996 0.000 2.369
```